No. 1
Crystalline CoSiNiMo at its relaxed geometry, computed with PBE-GGA.

Cell: 4.095 4.095 4.095 Å, 60.00 60.00 60.00°
Fractional coordinates of all 4 atoms:
Mo 0.250 0.250 0.250
Ni 0.750 0.750 0.750
Si 0.000 0.000 0.000
Co 0.500 0.500 0.500

Calculated values
ΔE to the lowest computed polymorph: 0.000 eV/atom

***

No. 2
Crystalline NbAs2O at its relaxed geometry, computed with PBE-GGA.

Cell: 3.548 3.548 10.374 Å, 90.00 90.00 90.00°
Each line ends with the local moment (μB).
Fractional coordinates of all 8 atoms:
O 0.500 0.500 0.000  0.00
O 0.000 0.000 0.000  0.00
As 0.000 0.500 0.751  -0.03
As 0.500 0.500 0.500  0.00
As 0.500 0.000 0.249  -0.03
As 0.000 0.000 0.500  0.00
Nb 0.500 0.000 0.880  0.58
Nb 0.000 0.500 0.120  0.58

Calculated values
VASP energy: -6.7198 eV per atom

***

No. 3
Crystalline GdTlAg4 at its relaxed geometry, computed with PBE-GGA.

Cell: 5.614 5.614 5.614 Å, 60.00 60.00 60.00°
Fractional coordinates of all 6 atoms:
Ag 0.625 0.625 0.625
Ag 0.625 0.625 0.125
Ag 0.625 0.125 0.625
Ag 0.125 0.625 0.625
Tl 0.000 0.000 0.000
Gd 0.250 0.250 0.250

Calculated values
VASP energy: -3.2316 eV per atom

***

No. 4
Crystalline BaNdCuSi3 at its relaxed geometry, computed with PBE-GGA.

Cell: 8.588 8.348 6.126 Å, 70.90 66.72 42.38°
Fractional coordinates of all 12 atoms:
Ba 0.250 0.250 0.250
Ba 0.750 0.750 0.750
Nd 0.762 0.238 0.762
Nd 0.238 0.762 0.238
Cu 0.336 0.336 0.664
Cu 0.664 0.664 0.336
Si 0.825 0.336 0.175
Si 0.175 0.664 0.825
Si 0.839 0.839 0.161
Si 0.161 0.161 0.839
Si 0.336 0.825 0.664
Si 0.664 0.175 0.336

Calculated values
ΔE to the lowest computed polymorph: 0.000 eV/atom

***

No. 5
Crystalline Zr2H3O6 at its relaxed geometry, computed with PBE-GGA.

Cell: 5.172 5.172 5.161 Å, 109.18 109.18 110.15°
Each line ends with the local moment (μB).
Fractional coordinates of all 11 atoms:
O 0.338 0.036 0.761  0.20
O 0.964 0.662 0.239  0.20
O 0.662 0.964 0.239  0.20
O 0.724 0.724 0.693  0.04
O 0.036 0.338 0.761  0.20
O 0.276 0.276 0.307  0.04
H 0.433 0.567 0.500  0.00
H 0.567 0.433 0.500  0.00
H 0.000 0.000 0.500  -0.01
Zr 0.807 0.193 0.000  -0.02
Zr 0.193 0.807 0.000  -0.02

Calculated values
ΔE to the lowest computed polymorph: 0.493 eV/atom

***

No. 6
Crystalline As2Pt9 at its relaxed geometry, computed with PBE-GGA.

Cell: 2.838 2.838 36.700 Å, 90.00 90.00 120.00°
Each line ends with the local moment (μB).
Fractional coordinates of all 11 atoms:
Pt 0.667 0.333 0.060  -0.05
Pt 0.000 0.000 0.183  -0.01
Pt 0.000 0.000 0.000  -0.04
Pt 0.667 0.333 0.879  -0.04
Pt 0.667 0.333 0.247  0.00
Pt 0.000 0.000 0.817  -0.01
Pt 0.333 0.667 0.121  -0.04
Pt 0.333 0.667 0.940  -0.05
Pt 0.333 0.667 0.753  0.00
As 0.333 0.667 0.302  0.00
As 0.667 0.333 0.698  0.00

Calculated values
VASP energy: -5.7822 eV per atom

***

No. 7
Crystalline Co2Mo3N at its relaxed geometry, computed with PBE-GGA.

Cell: 6.655 6.655 6.655 Å, 90.00 90.00 90.00°
Each line ends with the local moment (μB).
Fractional coordinates of all 24 atoms:
Mo 0.549 0.625 0.299  -0.03
Mo 0.125 0.201 0.451  -0.04
Mo 0.625 0.299 0.549  -0.04
Mo 0.701 0.049 0.875  -0.01
Mo 0.451 0.125 0.201  -0.03
Mo 0.799 0.951 0.375  -0.03
Mo 0.049 0.875 0.701  -0.02
Mo 0.375 0.799 0.951  -0.04
Mo 0.875 0.701 0.049  -0.02
Mo 0.951 0.375 0.799  -0.04
Mo 0.201 0.451 0.125  -0.01
Mo 0.299 0.549 0.625  -0.02
Co 0.432 0.932 0.568  1.03
Co 0.932 0.568 0.432  1.04
Co 0.568 0.432 0.932  1.02
Co 0.682 0.682 0.682  1.00
Co 0.068 0.068 0.068  0.99
Co 0.182 0.818 0.318  1.03
Co 0.818 0.318 0.182  1.04
Co 0.318 0.182 0.818  1.03
N 0.375 0.375 0.375  0.01
N 0.625 0.875 0.125  0.00
N 0.875 0.125 0.625  0.00
N 0.125 0.625 0.875  0.00

Calculated values
VASP energy: -9.3470 eV per atom

***

No. 8
Crystalline BeInFeAs at its relaxed geometry, computed with PBE-GGA.

Cell: 4.361 4.361 4.361 Å, 60.00 60.00 60.00°
Fractional coordinates of all 4 atoms:
Fe 0.250 0.250 0.250
In 0.000 0.000 0.000
Be 0.750 0.750 0.750
As 0.500 0.500 0.500

Calculated values
ΔE to the lowest computed polymorph: 0.000 eV/atom

***

- Which formula does entry 5 have?
  Zr2H3O6

***

- Number 4 is which compound?
  BaNdCuSi3

***

Repeat the seventh record exactly.
Crystalline Co2Mo3N at its relaxed geometry, computed with PBE-GGA.

Cell: 6.655 6.655 6.655 Å, 90.00 90.00 90.00°
Each line ends with the local moment (μB).
Fractional coordinates of all 24 atoms:
Mo 0.549 0.625 0.299  -0.03
Mo 0.125 0.201 0.451  -0.04
Mo 0.625 0.299 0.549  -0.04
Mo 0.701 0.049 0.875  -0.01
Mo 0.451 0.125 0.201  -0.03
Mo 0.799 0.951 0.375  -0.03
Mo 0.049 0.875 0.701  -0.02
Mo 0.375 0.799 0.951  -0.04
Mo 0.875 0.701 0.049  -0.02
Mo 0.951 0.375 0.799  -0.04
Mo 0.201 0.451 0.125  -0.01
Mo 0.299 0.549 0.625  -0.02
Co 0.432 0.932 0.568  1.03
Co 0.932 0.568 0.432  1.04
Co 0.568 0.432 0.932  1.02
Co 0.682 0.682 0.682  1.00
Co 0.068 0.068 0.068  0.99
Co 0.182 0.818 0.318  1.03
Co 0.818 0.318 0.182  1.04
Co 0.318 0.182 0.818  1.03
N 0.375 0.375 0.375  0.01
N 0.625 0.875 0.125  0.00
N 0.875 0.125 0.625  0.00
N 0.125 0.625 0.875  0.00

Calculated values
VASP energy: -9.3470 eV per atom